! Li2PtSe | Alexandria via LeMat-Bulk | PBE | relaxed; values from VASP
! Crystal system: tetragonal
! DOS at the Fermi energy, states/eV/f.u.: 0.384
! Theoretical density, Mg/m³: 7.24
! Formation energy (no corrections), kcal/mol of atoms: -11.29
! Total energy, eV per atom: -3.8277
&SYSTEM
  ibrav = 0, nat = 8, ntyp = 3
/
ATOMIC_SPECIES
Li 6.94 Li.upf
Se 78.96 Se.upf
Pt 195.08 Pt.upf
CELL_PARAMETERS angstrom
-5.7681 4.2974 -0.8444
-4.1135 -4.8368 3.4837
-4.4182 0.8616 3.5073
ATOMIC_POSITIONS crystal
Li 0.8750 0.8588 0.7500
Li 0.6088 0.1250 0.2500
Se 0.5000 0.5000 0.0000
Li 0.3750 0.3912 0.7500
Pt 0.0000 0.0000 0.0000
Li 0.1412 0.6250 0.2500
Se 0.2500 0.7500 0.5000
Pt 0.7500 0.2500 0.5000